No. 1
Compound: Tl3Cl
Source: Alexandria
Functional: PBE
Structure: relaxed

Unit cell a=6.004 b=6.004 c=6.004 alpha=90.00 beta=90.00 gamma=90.00
Space group Pm-3m (No. 221)
Asymmetric unit:
1 Tl 0.000 0.000 0.500
2 Cl 0.000 0.000 0.000

formation energy from raw total energies: -0.03 eV per atom
ρ: 4.98 Mg/m³
total DFT energy (no corrections): -2.2692 eV per atom



No. 2
Compound: Tb6Sm8In
Source: Alexandria
Functional: PBE
Structure: relaxed

Unit cell a=9.3421 b=9.3421 c=6.5182 alpha=90.00 beta=90.00 gamma=120.00
Space group P-3 (No. 147)
Asymmetric unit:
1 Tb 0.0951 0.6477 0.1686
2 Sm 0.0400 0.7699 0.6806
3 Sm 0.3333 0.6667 0.6474
4 In 0.0000 0.0000 0.0000

ρ: 7.66 Mg/m³
energy of formation: 0.0766 eV per atom
total DFT energy (no corrections): -4.4750 eV per atom



No. 3
Compound: LiZrH4
Source: Alexandria
Functional: PBE
Structure: relaxed

Unit cell a=3.307 b=3.307 c=4.761 alpha=90.00 beta=90.00 gamma=90.00
Space group P4/mmm (No. 123)
Asymmetric unit:
1 Li 0.000 0.000 0.000
2 Zr 0.500 0.500 0.500
3 H 0.000 0.500 0.249

ρ: 3.26 Mg/m³
total DFT energy (no corrections): -4.3438 eV per atom



No. 4
Compound: PtPb2C
Source: Alexandria
Functional: PBE
Structure: relaxed

Unit cell a=6.239 b=6.239 c=9.619 alpha=90.00 beta=90.00 gamma=90.00
Space group I-42d (No. 122)
Asymmetric unit:
1 Pt 0.000 0.000 0.000
2 Pb 0.198 0.250 0.625
3 C 0.000 0.000 0.500

ρ: 11.02 Mg/m³
energy of formation: 0.8818 eV per atom
total DFT energy (no corrections): -4.7885 eV per atom



No. 5
Compound: SmGdHg2
Source: Alexandria
Functional: PBE
Structure: relaxed

Unit cell a=7.543 b=7.543 c=7.543 alpha=90.00 beta=90.00 gamma=90.00
Space group Fm-3m (No. 225)
Asymmetric unit:
1 Sm 0.000 0.000 0.000
2 Gd 0.000 0.000 0.500
3 Hg 0.250 0.250 0.250

ρ: 10.97 Mg/m³
energy of formation: -0.4956 eV per atom
total DFT energy (no corrections): -5.3465 eV per atom



No. 6
Compound: LaTb2SmMg
Source: Alexandria
Functional: PBE
Structure: relaxed

Unit cell a=11.329 b=4.963 c=11.272 alpha=90.00 beta=90.42 gamma=90.00
Space group C2/m (No. 12)
Asymmetric unit:
1 La 0.046 0.000 0.347
2 Tb 0.148 0.000 0.047
3 Tb 0.156 0.500 0.551
4 Sm 0.249 0.500 0.244
5 Mg 0.054 0.500 0.862

ρ: 6.62 Mg/m³
energy of formation: 0.0322 eV per atom
total DFT energy (no corrections): -4.0681 eV per atom



No. 7
Compound: ZrCrTc
Source: Alexandria
Functional: PBE
Structure: relaxed

Unit cell a=3.131 b=3.131 c=9.769 alpha=90.00 beta=90.00 gamma=90.00
Space group I4mm (No. 107)
Asymmetric unit:
1 Zr 0.000 0.000 0.000
2 Cr 0.000 0.000 0.322
3 Tc 0.000 0.000 0.683

ρ: 8.36 Mg/m³
energy of formation: -0.0399 eV per atom
total DFT energy (no corrections): -9.5524 eV per atom



No. 8
Compound: CsCeMgSe3
Source: Alexandria
Functional: PBE
Structure: relaxed

Unit cell a=9.803 b=4.417 c=10.517 alpha=90.00 beta=108.78 gamma=90.00
Space group P2_1/m (No. 11)
Asymmetric unit:
1 Cs 0.210 0.250 0.234
2 Ce 0.332 0.750 0.861
3 Mg 0.084 0.250 0.609
4 Se 0.123 0.250 0.859
5 Se 0.189 0.750 0.542
6 Se 0.471 0.750 0.153

formation energy from raw total energies: -1.52 eV per atom
ρ: 4.11 Mg/m³
total DFT energy (no corrections): -4.6628 eV per atom



No. 9
Compound: BaSr2Al2P4
Source: Alexandria
Functional: PBE
Structure: relaxed

Unit cell a=16.662 b=4.038 c=8.604 alpha=90.00 beta=119.67 gamma=90.00
Space group C2/m (No. 12)
Asymmetric unit:
1 Ba 0.000 0.000 0.000
2 Sr 0.114 0.000 0.645
3 Al 0.171 0.500 0.381
4 P 0.018 0.500 0.310
5 P 0.225 0.000 0.292

ρ: 3.24 Mg/m³
energy of formation: -0.8936 eV per atom
total DFT energy (no corrections): -4.7171 eV per atom



No. 10
Compound: Th2Si2Tc2N
Source: Alexandria
Functional: PBE
Structure: relaxed

Unit cell a=11.095 b=4.159 c=7.015 alpha=90.00 beta=128.29 gamma=90.00
Space group C2/m (No. 12)
Asymmetric unit:
1 Th 0.063 0.000 0.329
2 Si 0.154 0.500 0.107
3 Tc 0.207 0.500 0.810
4 N 0.000 0.500 0.500

formation energy from raw total energies: -0.81 eV per atom
ρ: 9.54 Mg/m³
total DFT energy (no corrections): -8.6299 eV per atom



Please write out number 7 again, unchanged.
Compound: ZrCrTc
Source: Alexandria
Functional: PBE
Structure: relaxed

Unit cell a=3.131 b=3.131 c=9.769 alpha=90.00 beta=90.00 gamma=90.00
Space group I4mm (No. 107)
Asymmetric unit:
1 Zr 0.000 0.000 0.000
2 Cr 0.000 0.000 0.322
3 Tc 0.000 0.000 0.683

ρ: 8.36 Mg/m³
energy of formation: -0.0399 eV per atom
total DFT energy (no corrections): -9.5524 eV per atom



Question: Which formula does entry 6 have?
Answer: LaTb2SmMg



Question: total DFT energy (no corrections) of number 1 (Tl3Cl)?
Answer: -2.2692 eV per atom



Question: Which of these has the lowest total DFT energy (no corrections)?
Answer: ZrCrTc